The following is a DFT calculation (SCAN) of a PBEsol-optimized structure of Be2AlBr.

```
Be2AlBr
1.0
-0.6671 2.8479 -0.6073
-2.7536 -0.8196 -0.8187
-2.1231 0.8450 6.2949
Be Br Al
2 1 1
Direct
0.0000 0.0000 0.2698
0.0000 0.0000 0.7302
0.5000 0.5000 0.0000
0.5000 0.5000 0.5000
```

Computed properties:
**Total magnetization**: 0.000 μB/f.u.
**Formation energy from raw total energies**: 0.64 eV per atom
**ΔE to the lowest computed polymorph**: 58.1 kJ per mole of atoms
**Space group**: P4/mmm (123)
**Fermi-level density of states**: 0.287 states/eV/atom